No. 1
12
Lattice="3.527 -7.046 0.000 3.527 7.046 0.000 -1.894 0.000 7.563" Properties=species:S:1:pos:R:3 comment="K3PaHg2Se6 PBE relaxed" formation_energy_uncorrected_ev_per_atom=-0.96 dos_ef_per_ev_fu=0.0 pbc="T T T"
K 0.000 0.000 0.000
K 3.527 2.603 0.000
K 3.527 -2.603 0.000
Pa 2.581 0.000 3.782
Hg 2.581 4.914 3.782
Hg 2.581 -4.914 3.782
Se 1.143 2.074 2.329
Se 0.806 0.000 5.763
Se 1.143 -2.074 2.329
Se 4.018 2.074 5.234
Se 4.355 0.000 1.800
Se 4.018 -2.074 5.234

---

No. 2
4
Lattice="-1.970 1.970 4.300 1.970 -1.970 4.300 1.970 1.970 -4.300" Properties=species:S:1:pos:R:3 comment="TaPt2Se PBE relaxed" formation_energy_uncorrected_ev_per_atom=-0.07 dos_ef_per_ev_fu=4.1 pbc="T T T"
Ta 0.000 0.000 0.000
Pt 1.970 0.000 2.150
Pt 0.000 1.970 2.150
Se 0.000 0.000 4.300